VASP calculation (PBE) on KBPO2 after structural relaxation.

Computed properties:
Density of states at the Fermi level in states/eV/f.u.: 5.498
Calculated volume in Å³/f.u.: 137.7
Excess energy over the best structure of this formula in the dataset in eV per atom: 1.800

The structure in CIF format:
```
data_KBPO2
_chemical_formula_sum 'K1 B1 P1 O2'
_cell_length_a 4.625
_cell_length_b 4.625
_cell_length_c 6.437
_cell_angle_alpha 90.00
_cell_angle_beta 90.00
_cell_angle_gamma 90.00
_symmetry_space_group_name_H-M 'P 4/m m m'
_symmetry_Int_Tables_number 123
_symmetry_space_group_name_Hall '-P 4 2'
loop_
_atom_site_label
_atom_site_type_symbol
_atom_site_fract_x
_atom_site_fract_y
_atom_site_fract_z
K1 K 0.000 0.000 0.000
B1 B 0.500 0.500 0.500
P1 P 0.000 0.000 0.500
O1 O 0.000 0.500 0.000
```

=====

VASP calculation (PBE) on KZnBP2O8 after structural relaxation.

Computed properties:
Density of states at the Fermi level in states/eV/f.u.: 0.000
Calculated volume in Å³/f.u.: 178.6

The structure in CIF format:
```
data_KZnBP2O8
_chemical_formula_sum 'K8 Zn8 B8 P16 O64'
_cell_length_a 12.915
_cell_length_b 12.995
_cell_length_c 8.513
_cell_angle_alpha 90.00
_cell_angle_beta 91.13
_cell_angle_gamma 90.00
_symmetry_space_group_name_H-M 'C 1 2/c 1'
_symmetry_Int_Tables_number 15
_symmetry_space_group_name_Hall '-C 2yc'
loop_
_atom_site_label
_atom_site_type_symbol
_atom_site_fract_x
_atom_site_fract_y
_atom_site_fract_z
K1 K 0.000 0.029 0.250
K2 K 0.000 0.404 0.250
Zn1 Zn 0.123 0.192 0.560
B1 B 0.188 0.390 0.928
P1 P 0.128 0.183 0.941
P2 P 0.195 0.419 0.594
O1 O 0.020 0.140 0.974
O2 O 0.125 0.301 0.981
O3 O 0.135 0.336 0.499
O4 O 0.155 0.474 0.034
O5 O 0.156 0.420 0.767
O6 O 0.166 0.162 0.776
O7 O 0.188 0.093 0.416
O8 O 0.201 0.130 0.066
```

=====

VASP calculation (PBE) on KPaB2O8 after structural relaxation.

Computed properties:
Density of states at the Fermi level in states/eV/f.u.: 3.227
Calculated volume in Å³/f.u.: 194.1

The structure in CIF format:
```
data_KPaB2O8
_chemical_formula_sum 'K1 Pa1 B2 O8'
_cell_length_a 5.3961
_cell_length_b 5.3961
_cell_length_c 7.6961
_cell_angle_alpha 90.00
_cell_angle_beta 90.00
_cell_angle_gamma 120.00
_symmetry_space_group_name_H-M 'P -3 m 1'
_symmetry_Int_Tables_number 164
_symmetry_space_group_name_Hall '-P 3 2"'
loop_
_atom_site_label
_atom_site_type_symbol
_atom_site_fract_x
_atom_site_fract_y
_atom_site_fract_z
K1 K 0.0000 0.0000 0.0000
Pa1 Pa 0.0000 0.0000 0.5000
B1 B 0.3333 0.6667 0.7234
O1 O 0.1844 0.3687 0.6692
O2 O 0.3333 0.6667 0.9123
```

=====

VASP calculation (PBE) on K3PaB2O8 after structural relaxation.

Computed properties:
Density of states at the Fermi level in states/eV/f.u.: 7.289
Calculated volume in Å³/f.u.: 204.4

The structure in CIF format:
```
data_K3PaB2O8
_chemical_formula_sum 'K3 Pa1 B2 O8'
_cell_length_a 5.4946
_cell_length_b 5.4946
_cell_length_c 7.8175
_cell_angle_alpha 90.00
_cell_angle_beta 90.00
_cell_angle_gamma 120.00
_symmetry_space_group_name_H-M 'P -3 m 1'
_symmetry_Int_Tables_number 164
_symmetry_space_group_name_Hall '-P 3 2"'
loop_
_atom_site_label
_atom_site_type_symbol
_atom_site_fract_x
_atom_site_fract_y
_atom_site_fract_z
K1 K 0.0000 0.0000 0.0000
K2 K 0.3333 0.6667 0.7557
Pa1 Pa 0.0000 0.0000 0.5000
B1 B 0.3333 0.6667 0.2760
O1 O 0.1848 0.3695 0.3365
O2 O 0.3333 0.6667 0.0909
```

=====

VASP calculation (PBE) on KPaBO5 after structural relaxation.

Computed properties:
Density of states at the Fermi level in states/eV/f.u.: 4.190
Calculated volume in Å³/f.u.: 117.6

The structure in CIF format:
```
data_KPaBO5
_chemical_formula_sum 'K4 Pa4 B4 O20'
_cell_length_a 7.045
_cell_length_b 9.196
_cell_length_c 8.049
_cell_angle_alpha 90.00
_cell_angle_beta 115.58
_cell_angle_gamma 90.00
_symmetry_space_group_name_H-M 'C 1 2/c 1'
_symmetry_Int_Tables_number 15
_symmetry_space_group_name_Hall '-C 2yc'
loop_
_atom_site_label
_atom_site_type_symbol
_atom_site_fract_x
_atom_site_fract_y
_atom_site_fract_z
K1 K 0.000 0.160 0.250
Pa1 Pa 0.000 0.500 0.000
B1 B 0.000 0.188 0.750
O1 O 0.000 0.432 0.250
O2 O 0.064 0.283 0.631
O3 O 0.177 0.093 0.871
```

=====

VASP calculation (PBE) on K2BPbO4 after structural relaxation.

Computed properties:
Density of states at the Fermi level in states/eV/f.u.: 2.136
Calculated volume in Å³/f.u.: 172.8

The structure in CIF format:
```
data_K2BPbO4
_chemical_formula_sum 'K16 B8 Pb8 O32'
_cell_length_a 5.380
_cell_length_b 11.426
_cell_length_c 22.484
_cell_angle_alpha 90.00
_cell_angle_beta 90.00
_cell_angle_gamma 90.00
_symmetry_space_group_name_H-M 'F d d d'
_symmetry_Int_Tables_number 70
loop_
_symmetry_equiv_pos_as_xyz
'x,y,z'
'-x,-y,-z'
'-x+1/4,-y+1/4,z'
'x+1/4,y+1/4,-z'
'x,-y+1/4,-z+1/4'
'-x,y+1/4,z+1/4'
'-x+1/4,y,-z+1/4'
'x+1/4,-y,z+1/4'
'x,y+1/2,z+1/2'
'-x,-y+1/2,-z+1/2'
'-x+1/4,-y+3/4,z+1/2'
'x+1/4,y+3/4,-z+1/2'
'x,-y+3/4,-z+3/4'
'-x,y+3/4,z+3/4'
'-x+1/4,y+1/2,-z+3/4'
'x+1/4,-y+1/2,z+3/4'
'x+1/2,y,z+1/2'
'-x+1/2,-y,-z+1/2'
'-x+3/4,-y+1/4,z+1/2'
'x+3/4,y+1/4,-z+1/2'
'x+1/2,-y+1/4,-z+3/4'
'-x+1/2,y+1/4,z+3/4'
'-x+3/4,y,-z+3/4'
'x+3/4,-y,z+3/4'
'x+1/2,y+1/2,z'
'-x+1/2,-y+1/2,-z'
'-x+3/4,-y+3/4,z'
'x+3/4,y+3/4,-z'
'x+1/2,-y+3/4,-z+1/4'
'-x+1/2,y+3/4,z+1/4'
'-x+3/4,y+1/2,-z+1/4'
'x+3/4,-y+1/2,z+1/4'
loop_
_atom_site_label
_atom_site_type_symbol
_atom_site_fract_x
_atom_site_fract_y
_atom_site_fract_z
K1 K 0.125 0.125 0.311
B1 B 0.125 0.125 0.625
Pb1 Pb 0.125 0.125 0.125
O1 O 0.036 0.293 0.838
```

=====

VASP calculation (PBE) on KB4Pb3O12 after structural relaxation.

Computed properties:
Density of states at the Fermi level in states/eV/f.u.: 3.455
Calculated volume in Å³/f.u.: 267.2

The structure in CIF format:
```
data_KB4Pb3O12
_chemical_formula_sum 'K3 B12 Pb9 O36'
_cell_length_a 10.2742
_cell_length_b 10.2742
_cell_length_c 8.7691
_cell_angle_alpha 90.00
_cell_angle_beta 90.00
_cell_angle_gamma 120.00
_symmetry_space_group_name_H-M 'R 3 2'
_symmetry_Int_Tables_number 155
_symmetry_space_group_name_Hall 'R 3 2"'
loop_
_atom_site_label
_atom_site_type_symbol
_atom_site_fract_x
_atom_site_fract_y
_atom_site_fract_z
K1 K 0.0000 0.0000 0.0000
B1 B 0.0000 0.0000 0.5000
B2 B 0.0000 0.4611 0.5000
Pb1 Pb 0.0000 0.5335 0.0000
O1 O 0.0000 0.6000 0.5000
O2 O 0.0000 0.8649 0.5000
O3 O 0.0041 0.1985 0.7985
```

=====

VASP calculation (PBE) on K2BPdO after structural relaxation.

Computed properties:
Density of states at the Fermi level in states/eV/f.u.: 1.201
Calculated volume in Å³/f.u.: 111.8

The structure in CIF format:
```
data_K2BPdO
_chemical_formula_sum 'K2 B1 Pd1 O1'
_cell_length_a 6.209
_cell_length_b 6.209
_cell_length_c 2.900
_cell_angle_alpha 90.00
_cell_angle_beta 90.00
_cell_angle_gamma 90.00
_symmetry_space_group_name_H-M 'P 4/m m m'
_symmetry_Int_Tables_number 123
_symmetry_space_group_name_Hall '-P 4 2'
loop_
_atom_site_label
_atom_site_type_symbol
_atom_site_fract_x
_atom_site_fract_y
_atom_site_fract_z
K1 K 0.000 0.500 0.000
B1 B 0.000 0.000 0.000
Pd1 Pd 0.500 0.500 0.500
O1 O 0.000 0.000 0.500
```

=====

The calculation returns the following electronic total energy values, one per record and in order: -2.604 -6.800 -7.289 -6.970 -7.768 -5.397 -6.627 -3.718 eV per atom.
The calculation returns the following ΔE_f (raw) values, one per record and in order: 2016 -2221 -1987 -2269 -2510 -1345 -1705 87 meV/atom.